Record 1
Density functional theory data (PBE-GGA) for an optimized crystal structure of BeZnSnPd.

Cell lengths 4.464, 4.464, 4.464 Å; angles 60.00, 60.00, 60.00 degrees
Fractional positions:
Be 0.000 0.000 0.000
Zn 0.500 0.500 0.500
Sn 0.250 0.250 0.250
Pd 0.750 0.750 0.750

=====

Record 2
Density functional theory data (PBE-GGA) for an optimized crystal structure of SrBePd.

Cell lengths 4.555, 4.555, 4.555 Å; angles 60.00, 60.00, 60.00 degrees
Fractional positions:
Sr 0.000 0.000 0.000
Be 0.750 0.750 0.750
Pd 0.500 0.500 0.500

=====

Record 3
Density functional theory data (PBE-GGA) for an optimized crystal structure of SrBePd.

Cell lengths 4.662, 4.662, 4.662 Å; angles 60.00, 60.00, 60.00 degrees
Fractional positions:
Sr 0.000 0.000 0.000
Be 0.500 0.500 0.500
Pd 0.750 0.750 0.750

=====

Record 4
Density functional theory data (PBE-GGA) for an optimized crystal structure of SrBePd.

Cell lengths 4.844, 4.844, 4.844 Å; angles 60.00, 60.00, 60.00 degrees
Fractional positions:
Sr 0.000 0.000 0.000
Be 0.750 0.750 0.750
Pd 0.250 0.250 0.250

=====

So what do the calculations give for calculated density? Going down the list: 7.9 5.0 4.7 4.2 g/cm³.
So what do the calculations give for final energy? Going down the list: -13.841 -10.091 -10.132 -8.372 eV/cell.